No. 1
DFT (GGA-PBE) results for a relaxed structure of SrRhSe2.

Output
Raw formation energy (kJ/mol of atoms): -40
Magnetic moment (μB/cell): 0.00
Calculated total energy (eV/atom): -4.413
Theoretical density (g/cm³): 6.56
Space-group type: I-4m2

abc: 5.950 5.950 5.950
angles: 139.46 139.46 58.68
Atoms (fractional coordinates):
Rh 0.750 0.250 0.500
Se 0.000 0.000 0.000
Se 0.250 0.750 0.500
Sr 0.500 0.500 0.000

No. 2
DFT (GGA-PBE) results for a relaxed structure of SrRh2Se.

Output
Raw formation energy (kJ/mol of atoms): 2
Magnetic moment (μB/cell): 2.05
Calculated total energy (eV/atom): -4.945
Theoretical density (g/cm³): 7.80
Space-group type: F-43m

abc: 4.822 4.822 4.822
angles: 60.00 60.00 60.00
Site moments in Bohr magnetons follow the coordinates.
Atoms (fractional coordinates):
Rh 0.000 0.000 0.000  0.87
Rh 0.250 0.250 0.250  1.01
Se 0.500 0.500 0.500  0.09
Sr 0.750 0.750 0.750  0.02

- What is the magnetic moment in the second record?
  2.05 μB/cell